Arrangement P

The following is a PBE-GGA calculation of a relaxed structure of BC2, from Alexandria via LeMat-Bulk.

Values from the calculation:
**Theoretical density**: 3.06 g cm⁻³
**Space-group type**: No. 8
**V**: 6.31 Å³ per atom

Cell lengths 6.6752, 7.3107, 7.3107 Å; angles 159.91, 141.67, 44.13 degrees
Element x y z (fractional)
C (0.9839, 0.6791, 0.3047)
B (0.5819, 0.2750, 0.3069)
C (0.6627, 0.9658, 0.6969)
C (0.9810, 0.3320, 0.6490)
C (0.1436, 0.4555, 0.6882)
B (0.4659, 0.1340, 0.3319)
B (0.1487, 0.1561, 0.9926)
B (0.4762, 0.8432, 0.6330)
C (0.0497, 0.0002, 0.0495)
C (0.6327, 0.6140, 0.0186)
C (0.5346, 0.4989, 0.0357)
C (0.0891, 0.7961, 0.2930)

---

Arrangement Q

The following is a PBE-GGA calculation of a relaxed structure of BC2, from Alexandria via LeMat-Bulk.

Values from the calculation:
**Theoretical density**: 3.02 g cm⁻³
**Space-group type**: No. 11
**V**: 6.37 Å³ per atom

Cell lengths 2.5044, 4.6117, 6.6265 Å; angles 91.76, 90.00, 90.00 degrees
Element x y z (fractional)
C (0.0000, 0.3307, 0.5877)
C (0.5000, 0.8309, 0.5855)
C (0.5000, 0.8361, 0.3499)
B (0.5000, 0.5216, 0.2263)
B (0.0000, 0.9784, 0.0237)
C (0.5000, 0.5288, 0.9862)
B (0.5000, 0.1951, 0.9011)
C (0.0000, 0.9712, 0.2638)
C (0.0000, 0.6639, 0.9001)
C (0.5000, 0.1693, 0.6623)
C (0.0000, 0.6691, 0.6645)
B (0.0000, 0.3049, 0.3489)

---

It comes down to arrangement Q, which is 2.7 kJ/mol of atoms more stable than the next structure.

---

Arrangement P

The following is a PBE-GGA calculation of a relaxed structure of Ta2CuCl, from Alexandria via LeMat-Bulk.

Values from the calculation:
**Theoretical density**: 9.95 g cm⁻³
**Space-group type**: No. 99
**V**: 19.23 Å³ per atom

Cell lengths 2.9073, 2.9074, 9.1010 Å; angles 90.00, 90.00, 90.00 degrees
Element x y z (fractional)
Ta (0.5000, 0.5000, 0.2498)
Cl (0.0000, 0.0000, 0.4364)
Ta (0.0000, 0.0000, 0.0053)
Cu (0.5000, 0.5000, 0.8085)

---

Arrangement Q

The following is a PBE-GGA calculation of a relaxed structure of Ta2CuCl, from Alexandria via LeMat-Bulk.

Values from the calculation:
**Theoretical density**: 11.59 g cm⁻³
**Space-group type**: No. 119
**V**: 16.51 Å³ per atom

Cell lengths 5.2978, 5.2978, 5.2978 Å; angles 137.92, 137.92, 61.02 degrees
Element x y z (fractional)
Ta (0.0000, 0.0000, 0.0000)
Cu (0.7500, 0.2500, 0.5000)
Ta (0.2500, 0.7500, 0.5000)
Cl (0.5000, 0.5000, 0.0000)

---

It comes down to arrangement P, which is 67.4 kJ/mol of atoms more stable than the next structure.

---

Arrangement P

The following is a PBE-GGA calculation of a relaxed structure of B5C7, from Alexandria via LeMat-Bulk.

Values from the calculation:
**Theoretical density**: 2.86 g cm⁻³
**Space-group type**: No. 6
**V**: 6.69 Å³ per atom

Cell lengths 2.6070, 3.9914, 7.7176 Å; angles 89.47, 90.00, 90.00 degrees
Element x y z (fractional)
B (0.5000, 0.5008, 0.8292)
C (0.5000, 0.7585, 0.6592)
B (0.0000, 0.9430, 0.9707)
B (0.0000, 0.2896, 0.4941)
B (0.0000, 0.3137, 0.2062)
C (0.5000, 0.7368, 0.3364)
B (0.0000, 0.9731, 0.3390)
C (0.0000, 0.9778, 0.6656)
C (0.5000, 0.5219, 0.1688)
C (0.5000, 0.7279, 0.0056)
C (0.0000, 0.2231, 0.8210)
C (0.5000, 0.5339, 0.5041)

---

Arrangement Q

The following is a PBE-GGA calculation of a relaxed structure of B5C7, from Alexandria via LeMat-Bulk.

Values from the calculation:
**Theoretical density**: 2.62 g cm⁻³
**Space-group type**: No. 156
**V**: 7.29 Å³ per atom

Cell lengths 2.6218, 2.6218, 14.6978 Å; angles 90.00, 90.00, 120.00 degrees
Element x y z (fractional)
C (0.6667, 0.3333, 0.2993)
B (0.0000, 0.0000, 0.5510)
B (0.6667, 0.3333, 0.8314)
C (0.6667, 0.3333, 0.1875)
B (0.0000, 0.0000, 0.3135)
B (0.0000, 0.0000, 0.9045)
C (0.0000, 0.0000, 0.0122)
C (0.3333, 0.6667, 0.6701)
C (0.3333, 0.6667, 0.5639)
C (0.3333, 0.6667, 0.1530)
B (0.6667, 0.3333, 0.7163)
C (0.3333, 0.6667, 0.0474)

---

It comes down to arrangement P, which is 2.7 kJ/mol of atoms more stable than the next structure.

---

Arrangement P

The following is a PBE-GGA calculation of a relaxed structure of CaLa3Ir, from Alexandria via LeMat-Bulk.

Values from the calculation:
**Theoretical density**: 6.23 g cm⁻³
**Space-group type**: No. 4
**V**: 34.60 Å³ per atom

Cell lengths 7.5087, 7.2854, 6.3635 Å; angles 89.99, 96.25, 90.02 degrees
Element x y z (fractional)
Ir (0.3534, 0.8633, 0.1136)
La (0.5483, 0.6401, 0.8661)
Ir (0.2668, 0.3633, 0.7367)
La (0.0587, 0.6407, 0.9546)
La (0.5614, 0.1408, 0.8956)
La (0.2243, 0.9281, 0.5123)
La (0.3957, 0.4280, 0.3379)
Ca (0.9102, 0.3874, 0.4563)
Ca (0.7099, 0.8874, 0.3939)
La (0.0718, 0.1399, 0.9840)

---

Arrangement Q

The following is a PBE-GGA calculation of a relaxed structure of CaLa3Ir, from Alexandria via LeMat-Bulk.

Values from the calculation:
**Theoretical density**: 6.27 g cm⁻³
**Space-group type**: No. 11
**V**: 34.37 Å³ per atom

Cell lengths 7.2937, 7.2552, 6.5051 Å; angles 90.00, 86.85, 90.00 degrees
Element x y z (fractional)
La (0.8878, 0.2500, 0.5775)
La (0.1122, 0.7500, 0.4225)
La (0.7474, 0.5003, 0.0739)
La (0.7474, 0.9997, 0.0739)
Ca (0.6035, 0.7500, 0.5977)
La (0.2526, 0.0003, 0.9261)
Ir (0.5544, 0.2500, 0.8169)
Ca (0.3965, 0.2500, 0.4023)
Ir (0.4456, 0.7500, 0.1831)
La (0.2526, 0.4997, 0.9261)

---

It comes down to arrangement P, which is 4.0 kJ/mol of atoms more stable than the next structure.